(1)
## NbNiTe3 (meta-GGA SCAN)

Data for a PBEsol-optimized structure of NbNiTe3.

Cell: 4.9148 4.9148 4.9148 Å, 90.00 90.00 90.00°
Closest atoms and distances in Å follow each position.
Positions (direct):
Nb1 0.5000 0.5000 0.5000  12 Te 3.48
Te1 0.0000 0.5000 0.0000  2 Ni 2.46
Te2 0.0000 0.0000 0.5000  2 Ni 2.46
Te3 0.5000 0.0000 0.0000  2 Ni 2.46
Ni1 0.0000 0.0000 0.0000  6 Te 2.46

The value obtained for the formation energy (no corrections) is 51 kJ/mol of atoms. Its density of states at the Fermi level is 0.7538 states/eV/atom.

(2)
## NbZn2NiTe (meta-GGA SCAN)

Data for a PBEsol-optimized structure of NbZn2NiTe.

Cell: 4.9190 4.9190 5.1354 Å, 90.00 90.00 90.00°
Closest atoms and distances in Å follow each position.
Positions (direct):
Nb1 0.0000 0.0000 0.0000  4 Zn 2.46, 2 Te 2.57
Ni1 0.5000 0.5000 0.5000  4 Te 3.48, 8 Zn 3.56
Zn1 0.5000 0.0000 0.0000  2 Nb 2.46
Zn2 0.0000 0.5000 0.0000  2 Nb 2.46
Te1 0.0000 0.0000 0.5000  2 Nb 2.57

The value obtained for the formation energy (no corrections) is 115 kJ/mol of atoms. Its density of states at the Fermi level is 0.9691 states/eV/atom.

(3)
## TiNb2Ni (meta-GGA SCAN)

Data for a PBEsol-optimized structure of TiNb2Ni.

Cell: 4.4195 4.4195 4.4195 Å, 60.00 60.00 60.00°
Closest atoms and distances in Å follow each position.
Positions (direct):
Nb1 0.2500 0.2500 0.2500  4 Ni 2.71, 4 Ti 2.71
Nb2 0.7500 0.7500 0.7500  4 Ti 2.71, 4 Ni 2.71
Ni1 0.5000 0.5000 0.5000  8 Nb 2.71
Ti1 0.0000 0.0000 0.0000  8 Nb 2.71

Its density of states at the Fermi level is 0.9848 states/eV/atom. As for the energy of formation from the pure elements: 72.8 meV/atom.

(4)
## NbVNi (meta-GGA SCAN)

Data for a PBEsol-optimized structure of NbVNi.

Cell: 4.8499 4.8450 8.0253 Å, 90.00 90.00 120.03°
Closest atoms and distances in Å follow each position.
Positions (direct):
Ni1 0.9998 0.9997 0.7549  4 V 2.37-2.50, 2 Ni 2.45
Ni2 0.1602 0.8112 0.0000  4 Ni 2.38-2.47, 2 V 2.40-2.45
Ni3 0.9998 0.9997 0.2451  4 V 2.37-2.50, 2 Ni 2.45
Ni4 0.6510 0.8112 0.0000  4 Ni 2.38-2.47, 2 V 2.40-2.45
Nb1 0.6744 0.3488 0.8167  7 Ni 2.73-2.94, 5 V 2.84-2.90, 4 Nb 2.94-2.96
Nb2 0.3405 0.6811 0.6958  5 Ni 2.77-2.90, 7 V 2.86-2.92, 3 Nb 2.96
Nb3 0.6744 0.3488 0.1833  7 Ni 2.73-2.94, 5 V 2.84-2.90, 4 Nb 2.94-2.96
Nb4 0.3405 0.6811 0.3042  5 Ni 2.77-2.90, 7 V 2.86-2.92, 3 Nb 2.96
V1 0.3400 0.1734 0.5000  4 V 2.36-2.49, 2 Ni 2.49
V2 0.8289 0.6578 0.5000  4 V 2.36-2.49, 2 Ni 2.50
V3 0.8335 0.1734 0.5000  4 V 2.36-2.49, 2 Ni 2.49
V4 0.1572 0.3144 0.0000  6 Ni 2.37-2.45

Its density of states at the Fermi level is 0.9770 states/eV/atom. As for the energy of formation from the pure elements: -193.1 meV/atom.

(5)
## Nb2ZnNi2 (meta-GGA SCAN)

Data for a PBEsol-optimized structure of Nb2ZnNi2.

Cell: 3.1432 6.7313 6.7313 Å, 90.00 90.00 90.00°
Closest atoms and distances in Å follow each position.
Positions (direct):
Ni1 0.0000 0.8754 0.6246  1 Ni 2.37, 6 Nb 2.46-2.59
Ni2 0.0000 0.6246 0.1246  1 Ni 2.37, 6 Nb 2.46-2.59
Ni3 0.0000 0.1246 0.3754  1 Ni 2.37, 6 Nb 2.46-2.59
Ni4 0.0000 0.3754 0.8754  1 Ni 2.37, 6 Nb 2.46-2.59
Zn1 0.0000 0.0000 0.0000  4 Ni 2.66, 8 Nb 2.94
Zn2 0.0000 0.5000 0.5000  4 Ni 2.66, 8 Nb 2.94
Nb1 0.5000 0.8239 0.3239  6 Ni 2.46-2.59
Nb2 0.5000 0.1761 0.6761  6 Ni 2.46-2.59
Nb3 0.5000 0.6761 0.8239  6 Ni 2.46-2.59
Nb4 0.5000 0.3239 0.1761  6 Ni 2.46-2.59

Its density of states at the Fermi level is 0.7712 states/eV/atom. As for the energy of formation from the pure elements: -176.6 meV/atom.

(6)
## NbZn3Ni (meta-GGA SCAN)

Data for a PBEsol-optimized structure of NbZn3Ni.

Cell: 4.3016 4.3016 4.3016 Å, 90.00 90.00 90.00°
Closest atoms and distances in Å follow each position.
Positions (direct):
Zn1 0.0000 0.0000 0.5000  2 Ni 2.15
Zn2 0.5000 0.0000 0.0000  2 Ni 2.15
Zn3 0.0000 0.5000 0.0000  2 Ni 2.15
Nb1 0.5000 0.5000 0.5000  12 Zn 3.04
Ni1 0.0000 0.0000 0.0000  6 Zn 2.15

Its density of states at the Fermi level is 0.3583 states/eV/atom. As for the energy of formation from the pure elements: 461.8 meV/atom.

(7)
## Nb4O5 (meta-GGA SCAN)

Data for a PBEsol-optimized structure of Nb4O5.

Cell: 4.8036 6.6732 6.6732 Å, 90.00 90.00 90.00°
Closest atoms and distances in Å follow each position.
Positions (direct):
Nb1 0.2975 0.2960 0.0000  5 O 2.09-2.20
Nb2 0.2975 0.7040 0.0000  5 O 2.09-2.20
Nb3 0.7975 0.5000 0.7960  5 O 2.09-2.20
Nb4 0.2025 0.2040 0.5000  5 O 2.09-2.20
Nb5 0.7025 0.0000 0.2960  5 O 2.09-2.20
Nb6 0.7025 0.0000 0.7040  5 O 2.09-2.20
Nb7 0.7975 0.5000 0.2040  5 O 2.09-2.20
Nb8 0.2025 0.7960 0.5000  5 O 2.09-2.20
O1 0.0000 0.7867 0.2133  4 Nb 2.09-2.15
O2 0.5000 0.2867 0.2867  4 Nb 2.09-2.15
O3 0.5000 0.7133 0.7133  4 Nb 2.09-2.15
O4 0.5000 0.7133 0.2867  4 Nb 2.09-2.15
O5 0.5000 0.2867 0.7133  4 Nb 2.09-2.15
O6 0.0000 0.2133 0.2133  4 Nb 2.09-2.15
O7 0.0000 0.7867 0.7867  4 Nb 2.09-2.15
O8 0.5000 0.0000 0.0000  4 Nb 2.20
O9 0.0000 0.5000 0.5000  4 Nb 2.20
O10 0.0000 0.2133 0.7867  4 Nb 2.09-2.15

The value obtained for the formation energy (no corrections) is -221 kJ/mol of atoms. Its density of states at the Fermi level is 0.2812 states/eV/atom.